(1)
## ScBeSbOs (PBE)

Data for a relaxed ScBeSbOs crystal.

The polymorph energy (0 for the lowest one) is 0 meV per atom. The magnetization is 0.0 μB/f.u.

The space group is F-43m (No. 216) and the conventional cell measures 6.357, 6.357 and 6.357 Å, with angles of 90.00, 90.00 and 90.00 degrees. Symmetry generates all atoms from Sc at (0.000, 0.000, 0.000), Be at (0.250, 0.250, 0.250), Sb at (0.250, 0.250, 0.750) and Os at (0.000, 0.000, 0.500).

(2)
## ScUAs (PBE)

Data for a relaxed ScUAs crystal.

The calculation puts the total energy at -7.590 eV per atom. The magnetization is 4.2 μB/f.u.

The space group is F-43m (No. 216) and the conventional cell measures 6.661, 6.661 and 6.661 Å, with angles of 90.00, 90.00 and 90.00 degrees. Symmetry generates all atoms from Sc at (0.000, 0.000, 0.000), U at (0.000, 0.000, 0.500) and As at (0.250, 0.250, 0.250).

(3)
## NpReTc (PBE)

Data for a relaxed NpReTc crystal.

The calculation puts the energy of formation at 0.91 eV/atom. The polymorph energy (0 for the lowest one) is 258 meV per atom. The magnetization is 1.6 μB/f.u.

The space group is F-43m (No. 216) and the conventional cell measures 6.137, 6.137 and 6.137 Å, with angles of 90.00, 90.00 and 90.00 degrees. Symmetry generates all atoms from Np at (0.000, 0.000, 0.000), Re at (0.250, 0.250, 0.750) and Tc at (0.250, 0.250, 0.250).

(4)
## PrPd2 (PBE)

Data for a relaxed PrPd2 crystal.

The calculation puts the energy of formation at -0.21 eV/atom. The magnetization is 0.0 μB/f.u.

The space group is Fm-3m (No. 225) and the conventional cell measures 6.682, 6.682 and 6.682 Å, with angles of 90.00, 90.00 and 90.00 degrees. Symmetry generates all atoms from Pr at (0.000, 0.000, 0.000) and Pd at (0.250, 0.250, 0.250).

(5)
## GdPtNO (PBE)

Data for a relaxed GdPtNO crystal.

The polymorph energy (0 for the lowest one) is 383 meV per atom. The magnetization is 0.0 μB/f.u.

The space group is Pca2_1 (No. 29) and the conventional cell measures 6.920, 6.591 and 4.968 Å, with angles of 90.00, 90.00 and 90.00 degrees. Symmetry generates all atoms from Gd at (0.083, 0.176, 0.000), Pt at (0.165, 0.692, 0.025), N at (0.082, 0.137, 0.493) and O at (0.088, 0.545, 0.681).

(6)
## HfZr2Ni4Bi2Sb2 (PBE)

Data for a relaxed HfZr2Ni4Bi2Sb2 crystal.

The polymorph energy (0 for the lowest one) is 0 meV per atom. The magnetization is 0.0 μB/f.u.

The space group is I-42m (No. 121) and the conventional cell measures 6.128, 6.128 and 12.330 Å, with angles of 90.00, 90.00 and 90.00 degrees. Symmetry generates all atoms from Hf at (0.000, 0.000, 0.000), Zr at (0.000, 0.500, 0.250), Ni at (0.237, 0.237, 0.868), Bi at (0.000, 0.500, 0.000) and Sb at (0.000, 0.000, 0.262).

Which formula does entry 1 have?
ScBeSbOs

Which of these has the highest magnetization?
ScUAs

The highest magnetization belongs to which entry?
ScUAs